LaCd3Hg4 | PBE | optimized geometry

a = 4.9814 Å, b = 4.9814 Å, c = 8.0563 Å
α = 90.00°, β = 90.00°, γ = 90.00°
Sites, in units of the cell vectors:
La  0.0000  0.0000  0.0000
Cd  0.0000  0.0000  0.5000
Cd  0.5000  0.5000  0.0000
Cd  0.5000  0.5000  0.5000
Hg  0.0000  0.5000  0.2645
Hg  0.0000  0.5000  0.7355
Hg  0.5000  0.0000  0.2645
Hg  0.5000  0.0000  0.7355

Summary:
Volume   199.9 Å³ per cell
SG   No. 123
Calculated density   10.620 Mg/m³

***

LaCd2Hg | PBE | optimized geometry

a = 4.5620 Å, b = 4.6948 Å, c = 5.0697 Å
α = 90.00°, β = 90.00°, γ = 90.00°
Sites, in units of the cell vectors:
La  0.0000  0.0000  0.0000
Cd  0.0000  0.5000  0.5000
Cd  0.5000  0.0000  0.5000
Hg  0.5000  0.5000  0.0000

Summary:
Volume   108.6 Å³ per cell
SG   No. 47
Calculated density   8.630 Mg/m³

***

La2CdHg2 | PBE | optimized geometry

a = 9.2784 Å, b = 9.2784 Å, c = 9.2784 Å
α = 153.67°, β = 153.67°, γ = 37.58°
Sites, in units of the cell vectors:
La  0.1031  0.1031  0.0000
La  0.8969  0.8969  0.0000
Cd  0.5000  0.5000  0.0000
Hg  0.2500  0.7500  0.5000
Hg  0.7500  0.2500  0.5000

Summary:
Volume   156.9 Å³ per cell
SG   No. 139
Calculated density   8.376 Mg/m³
Energy above the lowest structure with this stoichiometry   114 kJ/mol of formula units

***

LaCd2Hg5 | PBE | optimized geometry

a = 8.6707 Å, b = 8.6707 Å, c = 8.6707 Å
α = 125.27°, β = 125.27°, γ = 81.08°
Sites, in units of the cell vectors:
La  0.2500  0.2500  0.0000
La  0.7500  0.7500  0.0000
Cd  0.1511  0.6511  0.8023
Cd  0.3489  0.1511  0.5000
Cd  0.6511  0.8489  0.5000
Cd  0.8489  0.3489  0.1977
Hg  0.0000  0.0000  0.0000
Hg  0.0109  0.7987  0.5000
Hg  0.2013  0.7013  0.2122
Hg  0.2987  0.5109  0.5000
Hg  0.4891  0.9891  0.7878
Hg  0.5000  0.5000  0.0000
Hg  0.5109  0.0109  0.2122
Hg  0.7013  0.4891  0.5000
Hg  0.7987  0.2987  0.7878
Hg  0.9891  0.2013  0.5000

Summary:
Volume   418.6 Å³ per cell
SG   No. 140
Calculated density   10.843 Mg/m³
Energy above the lowest structure with this stoichiometry   4 kJ/mol of formula units

***

La3CdHg2 | PBE | optimized geometry

a = 3.9233 Å, b = 3.9233 Å, c = 11.7464 Å
α = 90.00°, β = 90.00°, γ = 90.00°
Sites, in units of the cell vectors:
La  0.0000  0.0000  0.0000
La  0.0000  0.0000  0.3312
La  0.0000  0.0000  0.6688
Cd  0.5000  0.5000  0.5000
Hg  0.5000  0.5000  0.1680
Hg  0.5000  0.5000  0.8320

Summary:
Volume   180.8 Å³ per cell
SG   No. 123
Calculated density   8.544 Mg/m³
Energy above the lowest structure with this stoichiometry   1 kJ/mol of formula units

***

LaCdHg6 | PBE | optimized geometry

a = 5.0433 Å, b = 6.6960 Å, c = 6.6960 Å
α = 67.12°, β = 90.00°, γ = 90.00°
Sites, in units of the cell vectors:
La  0.0000  0.0000  0.0000
Cd  0.5000  0.2342  0.2342
Hg  0.0000  0.4713  0.4713
Hg  0.0000  0.5017  0.9770
Hg  0.0000  0.9770  0.5017
Hg  0.5000  0.3081  0.7369
Hg  0.5000  0.7369  0.3081
Hg  0.5000  0.7986  0.7986

Summary:
Volume   208.3 Å³ per cell
SG   No. 38
Calculated density   11.596 Mg/m³
Energy above the lowest structure with this stoichiometry   11 kJ/mol of formula units

***

La4CdHg | PBE | optimized geometry

a = 3.9193 Å, b = 3.9193 Å, c = 12.7558 Å
α = 90.00°, β = 90.00°, γ = 90.00°
Sites, in units of the cell vectors:
La  0.0000  0.0000  0.1503
La  0.0000  0.0000  0.8497
La  0.5000  0.5000  0.3466
La  0.5000  0.5000  0.6534
Cd  0.0000  0.0000  0.5000
Hg  0.5000  0.5000  0.0000

Summary:
Volume   195.9 Å³ per cell
SG   No. 123
Calculated density   7.361 Mg/m³
Energy above the lowest structure with this stoichiometry   0 kJ/mol of formula units

***

La6Cd2Hg | PBE | optimized geometry

a = 6.6337 Å, b = 8.8918 Å, c = 11.5844 Å
α = 90.00°, β = 118.16°, γ = 90.00°
Sites, in units of the cell vectors:
La  0.0712  0.0585  0.2186
La  0.0712  0.4415  0.7186
La  0.1629  0.7124  0.0653
La  0.1629  0.7876  0.5653
La  0.4093  0.1505  0.0438
La  0.4093  0.3495  0.5438
La  0.5907  0.6505  0.4562
La  0.5907  0.8495  0.9562
La  0.8371  0.2124  0.4347
La  0.8371  0.2876  0.9347
La  0.9288  0.5585  0.2814
La  0.9288  0.9415  0.7814
Cd  0.3314  0.1116  0.7308
Cd  0.3314  0.3884  0.2308
Cd  0.6686  0.6116  0.7692
Cd  0.6686  0.8884  0.2692
Hg  0.5000  0.0000  0.5000
Hg  0.5000  0.5000  0.0000

Summary:
Volume   602.4 Å³ per cell
SG   No. 14
Calculated density   6.940 Mg/m³
Energy above the lowest structure with this stoichiometry   68 kJ/mol of formula units

***

no.,ΔH_f (0 K) (kJ/mol of formula units)
1,-171
2,-112
3,-91
4,-119
5,-256
6,-150
7,-154
8,-133